# TlC2IBr GGA-PBE optimized geometry
data_TlC2IBr
_chemical_formula_sum 'Tl1 C2 I1 Br1'
_cell_length_a 4.5336
_cell_length_b 4.5336
_cell_length_c 6.5652
_cell_angle_alpha 90.00
_cell_angle_beta 90.00
_cell_angle_gamma 90.00
_symmetry_space_group_name_H-M 'P 4/m m m'
_symmetry_Int_Tables_number 123
_symmetry_space_group_name_Hall '-P 4 2'
loop_
_atom_site_label
_atom_site_type_symbol
_atom_site_fract_x
_atom_site_fract_y
_atom_site_fract_z
Tl1 Tl 0.0000 0.0000 0.0000
C1 C 0.0000 0.5000 0.0000
I1 I 0.5000 0.5000 0.5000
Br1 Br 0.0000 0.0000 0.5000
# * M_tot: 3.2 μB/cell
# * N(E_F): 0.868 states/eV/atom
# * uncorrected energy: -2.4441 eV per atom

---

# InC2Br GGA-PBE optimized geometry
data_InC2Br
_chemical_formula_sum 'In4 C8 Br4'
_cell_length_a 6.2385
_cell_length_b 6.2385
_cell_length_c 6.2385
_cell_angle_alpha 90.00
_cell_angle_beta 90.00
_cell_angle_gamma 90.00
_symmetry_space_group_name_H-M 'F m -3 m'
_symmetry_Int_Tables_number 225
_symmetry_space_group_name_Hall '-F 4 2 3'
loop_
_atom_site_label
_atom_site_type_symbol
_atom_site_fract_x
_atom_site_fract_y
_atom_site_fract_z
In1 In 0.0000 0.0000 0.0000
C1 C 0.2500 0.2500 0.2500
Br1 Br 0.0000 0.0000 0.5000
# * M_tot: 0.0 μB/cell
# * N(E_F): 0.694 states/eV/atom
# * offset from the most stable computed form: 566 meV/atom
# * uncorrected energy: -3.0132 eV per atom

---

# InC3Br GGA-PBE optimized geometry
data_InC3Br
_chemical_formula_sum 'In1 C3 Br1'
_cell_length_a 4.1448
_cell_length_b 4.1448
_cell_length_c 4.1448
_cell_angle_alpha 90.00
_cell_angle_beta 90.00
_cell_angle_gamma 90.00
_symmetry_space_group_name_H-M 'P m -3 m'
_symmetry_Int_Tables_number 221
_symmetry_space_group_name_Hall '-P 4 2 3'
loop_
_atom_site_label
_atom_site_type_symbol
_atom_site_fract_x
_atom_site_fract_y
_atom_site_fract_z
In1 In 0.0000 0.0000 0.0000
C1 C 0.0000 0.5000 0.5000
Br1 Br 0.5000 0.5000 0.5000
# * M_tot: 0.0 μB/cell
# * N(E_F): 0.844 states/eV/atom
# * offset from the most stable computed form: 38 meV/atom
# * uncorrected energy: -3.1226 eV per atom

---

# In2CBr GGA-PBE optimized geometry
data_In2CBr
_chemical_formula_sum 'In8 C4 Br4'
_cell_length_a 6.2817
_cell_length_b 6.2817
_cell_length_c 10.8183
_cell_angle_alpha 90.00
_cell_angle_beta 90.00
_cell_angle_gamma 90.00
_symmetry_space_group_name_H-M 'I -4 2 d'
_symmetry_Int_Tables_number 122
_symmetry_space_group_name_Hall 'I -4 2bw'
loop_
_atom_site_label
_atom_site_type_symbol
_atom_site_fract_x
_atom_site_fract_y
_atom_site_fract_z
In1 In 0.1333 0.2500 0.1250
C1 C 0.0000 0.0000 0.0000
Br1 Br 0.0000 0.0000 0.5000
# * M_tot: 0.0 μB/cell
# * N(E_F): 0.413 states/eV/atom
# * uncorrected energy: -3.6459 eV per atom

---

# In2CBr GGA-PBE optimized geometry
data_In2CBr
_chemical_formula_sum 'In8 C4 Br4'
_cell_length_a 7.0321
_cell_length_b 7.0321
_cell_length_c 7.0321
_cell_angle_alpha 90.00
_cell_angle_beta 90.00
_cell_angle_gamma 90.00
_symmetry_space_group_name_H-M 'F m -3 m'
_symmetry_Int_Tables_number 225
_symmetry_space_group_name_Hall '-F 4 2 3'
loop_
_atom_site_label
_atom_site_type_symbol
_atom_site_fract_x
_atom_site_fract_y
_atom_site_fract_z
In1 In 0.2500 0.2500 0.2500
C1 C 0.0000 0.0000 0.0000
Br1 Br 0.0000 0.0000 0.5000
# * M_tot: 0.0 μB/cell
# * N(E_F): 0.652 states/eV/atom
# * uncorrected energy: -2.8561 eV per atom

---

# In4C2Br GGA-PBE optimized geometry
data_In4C2Br
_chemical_formula_sum 'In8 C4 Br2'
_cell_length_a 6.2189
_cell_length_b 6.2189
_cell_length_c 13.6614
_cell_angle_alpha 90.00
_cell_angle_beta 90.00
_cell_angle_gamma 90.00
_symmetry_space_group_name_H-M 'I 4/m m m'
_symmetry_Int_Tables_number 139
_symmetry_space_group_name_Hall '-I 4 2'
loop_
_atom_site_label
_atom_site_type_symbol
_atom_site_fract_x
_atom_site_fract_y
_atom_site_fract_z
In1 In 0.0000 0.0000 0.2171
In2 In 0.0000 0.5000 0.0000
C1 C 0.0000 0.0000 0.0462
Br1 Br 0.0000 0.0000 0.5000
# * M_tot: 0.0 μB/cell
# * N(E_F): 0.310 states/eV/atom
# * uncorrected energy: -3.8135 eV per atom

---

# InC2Br GGA-PBE optimized geometry
data_InC2Br
_chemical_formula_sum 'In4 C8 Br4'
_cell_length_a 5.0360
_cell_length_b 5.0360
_cell_length_c 11.2978
_cell_angle_alpha 90.00
_cell_angle_beta 90.00
_cell_angle_gamma 90.00
_symmetry_space_group_name_H-M 'I -4 2 d'
_symmetry_Int_Tables_number 122
_symmetry_space_group_name_Hall 'I -4 2bw'
loop_
_atom_site_label
_atom_site_type_symbol
_atom_site_fract_x
_atom_site_fract_y
_atom_site_fract_z
In1 In 0.0000 0.0000 0.0000
C1 C 0.2491 0.2500 0.1250
Br1 Br 0.0000 0.0000 0.5000
# * M_tot: 0.0 μB/cell
# * N(E_F): 0.419 states/eV/atom
# * offset from the most stable computed form: 0 meV/atom
# * uncorrected energy: -3.5794 eV per atom

---

# InC3Br GGA-PBE optimized geometry
data_InC3Br
_chemical_formula_sum 'In1 C3 Br1'
_cell_length_a 4.4849
_cell_length_b 4.4849
_cell_length_c 4.4849
_cell_angle_alpha 90.00
_cell_angle_beta 90.00
_cell_angle_gamma 90.00
_symmetry_space_group_name_H-M 'P m -3 m'
_symmetry_Int_Tables_number 221
_symmetry_space_group_name_Hall '-P 4 2 3'
loop_
_atom_site_label
_atom_site_type_symbol
_atom_site_fract_x
_atom_site_fract_y
_atom_site_fract_z
In1 In 0.0000 0.0000 0.0000
C1 C 0.0000 0.0000 0.5000
Br1 Br 0.5000 0.5000 0.5000
# * M_tot: 2.8 μB/cell
# * N(E_F): 0.932 states/eV/atom
# * offset from the most stable computed form: 0 meV/atom
# * uncorrected energy: -3.1605 eV per atom

---

# InNi2CBr GGA-PBE optimized geometry
data_InNi2CBr
_chemical_formula_sum 'In1 Ni2 C1 Br1'
_cell_length_a 5.0211
_cell_length_b 5.0211
_cell_length_c 3.9847
_cell_angle_alpha 90.00
_cell_angle_beta 90.00
_cell_angle_gamma 90.00
_symmetry_space_group_name_H-M 'P 4/m m m'
_symmetry_Int_Tables_number 123
_symmetry_space_group_name_Hall '-P 4 2'
loop_
_atom_site_label
_atom_site_type_symbol
_atom_site_fract_x
_atom_site_fract_y
_atom_site_fract_z
In1 In 0.0000 0.0000 0.0000
Ni1 Ni 0.0000 0.5000 0.0000
C1 C 0.0000 0.0000 0.5000
Br1 Br 0.5000 0.5000 0.5000
# * M_tot: 1.9 μB/cell
# * N(E_F): 0.999 states/eV/atom
# * uncorrected energy: -3.3018 eV per atom

---

# Rb2InCBr6 GGA-PBE optimized geometry
data_Rb2InCBr6
_chemical_formula_sum 'Rb4 In2 C2 Br12'
_cell_length_a 7.5606
_cell_length_b 7.5606
_cell_length_c 10.6667
_cell_angle_alpha 90.00
_cell_angle_beta 90.00
_cell_angle_gamma 90.00
_symmetry_space_group_name_H-M 'I 4/m m m'
_symmetry_Int_Tables_number 139
_symmetry_space_group_name_Hall '-I 4 2'
loop_
_atom_site_label
_atom_site_type_symbol
_atom_site_fract_x
_atom_site_fract_y
_atom_site_fract_z
Rb1 Rb 0.0000 0.5000 0.2500
In1 In 0.0000 0.0000 0.0000
C1 C 0.0000 0.0000 0.5000
Br1 Br 0.0000 0.0000 0.2624
Br2 Br 0.2373 0.2373 0.5000
# * M_tot: 0.0 μB/cell
# * N(E_F): 0.276 states/eV/atom
# * uncorrected energy: -2.8804 eV per atom

---

# InRuC2Br GGA-PBE optimized geometry
data_InRuC2Br
_chemical_formula_sum 'In1 Ru1 C2 Br1'
_cell_length_a 3.9792
_cell_length_b 3.9792
_cell_length_c 5.6533
_cell_angle_alpha 90.00
_cell_angle_beta 90.00
_cell_angle_gamma 90.00
_symmetry_space_group_name_H-M 'P 4/m m m'
_symmetry_Int_Tables_number 123
_symmetry_space_group_name_Hall '-P 4 2'
loop_
_atom_site_label
_atom_site_type_symbol
_atom_site_fract_x
_atom_site_fract_y
_atom_site_fract_z
In1 In 0.0000 0.0000 0.0000
Ru1 Ru 0.0000 0.0000 0.5000
C1 C 0.0000 0.5000 0.5000
Br1 Br 0.5000 0.5000 0.0000
# * M_tot: 0.0 μB/cell
# * N(E_F): 0.259 states/eV/atom
# * uncorrected energy: -5.4135 eV per atom

---

# InCSBr2 GGA-PBE optimized geometry
data_InCSBr2
_chemical_formula_sum 'In1 C1 S1 Br2'
_cell_length_a 4.3491
_cell_length_b 4.3491
_cell_length_c 5.6824
_cell_angle_alpha 90.00
_cell_angle_beta 90.00
_cell_angle_gamma 90.00
_symmetry_space_group_name_H-M 'P 4/m m m'
_symmetry_Int_Tables_number 123
_symmetry_space_group_name_Hall '-P 4 2'
loop_
_atom_site_label
_atom_site_type_symbol
_atom_site_fract_x
_atom_site_fract_y
_atom_site_fract_z
In1 In 0.0000 0.0000 0.0000
C1 C 0.0000 0.0000 0.5000
S1 S 0.5000 0.5000 0.0000
Br1 Br 0.0000 0.5000 0.5000
# * M_tot: 0.0 μB/cell
# * N(E_F): 0.601 states/eV/atom
# * uncorrected energy: -2.8359 eV per atom

---

We obtain formation energy without anion corrections values of 11.8; 10.8; 16.5; 1.8; 4.9; 4.4; 8.5; 16.3; 8.7; -4.9; 5.1; 5.3 eV per formula unit for the records listed above, in that order.